A geometry-optimized TbAl2AgAu5 structure. Source: the Alexandria database, functional PBE.

Lattice parameters (Å, degrees): 4.6729 4.6729 8.2984 90.00 90.00 90.00
Closest atoms and distances in Å follow each position.
Atoms (fractional coordinates):
Tb 0.0000 0.0000 0.0000  12 Au 3.02-3.30
Al 0.5000 0.5000 0.3489  1 Al 2.51, 4 Au 2.53
Al 0.5000 0.5000 0.6511  1 Al 2.51, 4 Au 2.53
Ag 0.0000 0.0000 0.5000  8 Au 3.23, 8 Al 3.53
Au 0.0000 0.5000 0.2309  2 Al 2.53
Au 0.0000 0.5000 0.7691  2 Al 2.53
Au 0.5000 0.0000 0.2309  2 Al 2.53
Au 0.5000 0.0000 0.7691  2 Al 2.53
Au 0.5000 0.5000 0.0000  2 Al 2.90, 8 Au 3.02

size of the total moment	0.0000	μB per atom
ΔH_f (0 K)	-334	meV/atom

A geometry-optimized LiSmMg4 structure. Source: the Alexandria database, functional PBE.

Lattice parameters (Å, degrees): 6.0086 6.0086 6.0086 60.00 60.00 60.00
Closest atoms and distances in Å follow each position.
Atoms (fractional coordinates):
Li 0.0000 0.0000 0.0000  12 Mg 3.52, 4 Sm 3.68
Sm 0.7500 0.7500 0.7500  12 Mg 3.52, 4 Li 3.68
Mg 0.3751 0.3751 0.3751  6 Mg 3.00-3.01
Mg 0.3751 0.3751 0.8746  6 Mg 3.00-3.01
Mg 0.3751 0.8746 0.3751  6 Mg 3.00-3.01
Mg 0.8746 0.3751 0.3751  6 Mg 3.00-3.01

size of the total moment	0.0000	μB per atom
ΔH_f (0 K)	12	meV/atom
offset from the most stable computed form	75	meV per atom

A geometry-optimized Sc2CdSb structure. Source: the Alexandria database, functional PBE.

Lattice parameters (Å, degrees): 3.9846 3.9846 5.9955 90.00 90.00 90.00
Closest atoms and distances in Å follow each position.
Atoms (fractional coordinates):
Sc 0.0000 0.0000 0.0000  2 Cd 2.97-3.02, 4 Sb 3.05
Sc 0.5000 0.5000 0.2959  2 Sb 2.93-3.06, 4 Cd 3.06
Cd 0.0000 0.0000 0.4955  6 Sc 2.97-3.06
Sb 0.5000 0.5000 0.8065  6 Sc 2.93-3.06

energy relative to the elements, uncorrected	-0.416	eV/atom
size of the total moment	0.0000	μB per atom
offset from the most stable computed form	100	meV per atom

A geometry-optimized KTc8 structure. Source: the Alexandria database, functional PBE.

Lattice parameters (Å, degrees): 6.3547 6.3547 6.3547 96.05 96.05 142.11
Closest atoms and distances in Å follow each position.
Atoms (fractional coordinates):
K 0.0000 0.0000 0.0000  12 Tc 3.02-3.12
Tc 0.0000 0.3556 0.3556  7 Tc 2.46-2.70
Tc 0.0000 0.6444 0.6444  7 Tc 2.46-2.70
Tc 0.3057 0.3057 0.6115  4 Tc 2.46-2.63
Tc 0.3057 0.6943 0.0000  4 Tc 2.46-2.63
Tc 0.3556 0.0000 0.3556  7 Tc 2.46-2.70
Tc 0.6444 0.0000 0.6444  7 Tc 2.46-2.70
Tc 0.6943 0.3057 0.0000  4 Tc 2.46-2.63
Tc 0.6943 0.6943 0.3885  4 Tc 2.46-2.63

size of the total moment	0.0000	μB per atom
ΔH_f (0 K)	529	meV/atom

A geometry-optimized InAsAu2 structure. Source: the Alexandria database, functional PBE.

Lattice parameters (Å, degrees): 2.9643 4.7593 5.9550 90.00 90.00 90.00
Closest atoms and distances in Å follow each position.
Atoms (fractional coordinates):
In 0.0000 0.0000 0.0000  4 Au 2.80, 2 In 2.96
As 0.5000 0.0000 0.5000  4 Au 2.80, 2 As 2.96
Au 0.0000 0.5000 0.5000  4 As 2.80, 2 Au 2.96
Au 0.5000 0.5000 0.0000  4 In 2.80, 2 Au 2.96

size of the total moment	0.0000	μB per atom
ΔH_f (0 K)	114	meV/atom

A geometry-optimized Ho2Tm5ZrSc structure. Source: the Alexandria database, functional PBE.

Lattice parameters (Å, degrees): 10.0467 10.0467 10.2123 90.00 90.00 149.02
Closest atoms and distances in Å follow each position.
Atoms (fractional coordinates):
Ho 0.1122 0.8878 0.5000  9 Tm 3.21-3.54, 1 Sc 3.43
Ho 0.1124 0.8876 0.9260  1 Sc 3.19, 6 Tm 3.34-3.53, 2 Zr 3.48
Ho 0.8878 0.1122 0.0000  9 Tm 3.21-3.54, 1 Sc 3.43
Ho 0.8876 0.1124 0.4260  1 Sc 3.19, 6 Tm 3.34-3.53, 2 Zr 3.48
Tm 0.0195 0.9805 0.2015  2 Zr 3.08, 3 Ho 3.28-3.43, 1 Sc 3.33
Tm 0.2777 0.7223 0.5115  1 Zr 2.86
Tm 0.3007 0.6993 0.8852  1 Zr 3.27, 2 Sc 3.29, 4 Tm 3.34-3.57, 2 Ho 3.38
Tm 0.3758 0.6242 0.2050  4 Ho 3.41-3.51, 4 Tm 3.53-3.66, 1 Sc 3.56
Tm 0.4817 0.5183 0.9231  2 Zr 3.06-3.22, 2 Ho 3.33
Tm 0.5183 0.4817 0.4231  2 Zr 3.06-3.22, 2 Ho 3.33
Tm 0.6242 0.3758 0.7050  4 Ho 3.41-3.51, 4 Tm 3.53-3.66, 1 Sc 3.56
Tm 0.6993 0.3007 0.3852  1 Zr 3.27, 2 Sc 3.29, 4 Tm 3.34-3.57, 2 Ho 3.38
Tm 0.7223 0.2777 0.0115  1 Zr 2.86
Tm 0.9805 0.0195 0.7015  2 Zr 3.08, 3 Ho 3.28-3.43, 1 Sc 3.33
Zr 0.4092 0.5908 0.6393  4 Tm 2.86-3.08
Zr 0.5908 0.4092 0.1393  4 Tm 2.86-3.08
Sc 0.1917 0.8083 0.1999  2 Ho 3.19-3.43, 6 Tm 3.29-3.56, 2 Zr 3.38
Sc 0.8083 0.1917 0.6999  2 Ho 3.19-3.43, 6 Tm 3.29-3.56, 2 Zr 3.38

size of the total moment	0.0000	μB per atom
ΔH_f (0 K)	152	meV/atom